# SmPRu2C PBEsol optimized geometry
data_SmPRu2C
_chemical_formula_sum 'Sm4 P4 Ru8 C4'
_space_group_name_H-M_alt 'C m c m'
_space_group_IT_number 63
_space_group_name_Hall '-C 2c 2'
_cell_length_a 3.810
_cell_length_b 10.882
_cell_length_c 7.046
_cell_angle_alpha 90.00
_cell_angle_beta 90.00
_cell_angle_gamma 90.00
loop_
_atom_site_label
_atom_site_fract_x
_atom_site_fract_y
_atom_site_fract_z
Sm1 0.000 0.046 0.250
P1 0.000 0.230 0.750
Ru1 0.000 0.333 0.055
C1 0.000 0.500 0.000
# Total energy, eV per atom: -8.881
# D(E_F), states/eV per atom: 0.36
# Mass density, g cm⁻³: 9.0
# Spin magnetization, μB/cell: 0.000
# ΔH_f (0 K), meV/atom: -707